Here is crystalline CaSb3Ru at its relaxed geometry from Alexandria. Energies are from PBE.

abc: 5.2221 5.2221 5.2221
angles: 90.00 90.00 90.00
Last column: nearest neighbours and their distance in Å.
Fractional coordinates of all 5 atoms:
Ca: 0.0000 0.0000 0.0000  12 Sb 3.69
Sb: 0.0000 0.5000 0.5000  2 Ru 2.61
Sb: 0.5000 0.0000 0.5000  2 Ru 2.61
Sb: 0.5000 0.5000 0.0000  2 Ru 2.61
Ru: 0.5000 0.5000 0.5000  6 Sb 2.61

Values from the calculation:
* energy above the lowest structure with this stoichiometry: 0 meV/atom
* raw total energy: -23.432 eV per cell
* energy relative to the elements, uncorrected: 0.043 eV/atom